A plane-wave DFT calculation with GGA+U was carried out for a geometry-optimized Tl3WF structure.

Calculated values
ΔE to the lowest computed polymorph   0.0 meV per atom
Raw total energy   -3.117 eV per atom
Total magnetization   0.91 μB/atom

a b c (Å): 5.1917 5.1917 5.1917
angles (deg): 90.00 90.00 90.00
Element x y z (fractional)
Tl1 0.0000 0.5000 0.0000
Tl2 0.5000 0.0000 0.0000
Tl3 0.0000 0.0000 0.5000
W1 0.5000 0.5000 0.5000
F1 0.0000 0.0000 0.0000